No. 1
BaLiSc | PBE-GGA | optimized geometry

Calculated values
- SG = No. 156
- ΔE_f (eV/f.u.) = 1.2
- polymorph energy (0 for the lowest one) (meV/atom) = 97
- total energy (eV per atom) = -2.99

Cell and atoms, written as extended XYZ:
```
3
Lattice="5.656 0.000 0.000 -2.828 4.898 0.000 0.000 0.000 3.579" Properties=species:S:1:pos:R:3 pbc="T T T"
Ba 0.000 0.000 0.054
Li 2.828 1.633 1.400
Sc 0.000 3.266 2.125
```

=====

No. 2
BaLiSc2 | PBE-GGA | optimized geometry

Calculated values
- SG = No. 47
- ΔE_f (eV/f.u.) = 1.4
- polymorph energy (0 for the lowest one) (meV/atom) = 119
- total energy (eV per atom) = -3.78

Cell and atoms, written as extended XYZ:
```
4
Lattice="3.715 0.000 0.000 0.000 5.482 0.000 0.000 0.000 5.812" Properties=species:S:1:pos:R:3 pbc="T T T"
Ba 1.858 0.000 2.906
Li 0.000 2.741 2.906
Sc 0.000 0.000 0.000
Sc 1.858 2.741 0.000
```

=====

No. 3
Ba3LiSc | PBE-GGA | optimized geometry

Calculated values
- SG = No. 221
- ΔE_f (eV/f.u.) = 2.7
- polymorph energy (0 for the lowest one) (meV/atom) = 0
- total energy (eV per atom) = -2.26

Cell and atoms, written as extended XYZ:
```
5
Lattice="6.315 0.000 0.000 0.000 6.315 0.000 0.000 0.000 6.315" Properties=species:S:1:pos:R:3 pbc="T T T"
Sc 3.157 3.157 3.157
Ba 0.000 3.157 0.000
Ba 0.000 0.000 3.157
Ba 3.157 0.000 0.000
Li 0.000 0.000 0.000
```

=====

No. 4
BaLiSc2 | PBE-GGA | optimized geometry

Calculated values
- SG = No. 139
- ΔE_f (eV/f.u.) = 1.7
- polymorph energy (0 for the lowest one) (meV/atom) = 201
- total energy (eV per atom) = -3.70

Cell and atoms, written as extended XYZ:
```
4
Lattice="6.524 0.005 0.000 3.219 5.674 0.000 -4.871 -2.840 3.281" Properties=species:S:1:pos:R:3 pbc="T T T"
Ba 1.610 2.837 1.640
Li 3.262 0.003 1.640
Sc 0.000 0.000 0.000
Sc 4.871 2.840 0.000
```

=====

No. 5
BaLiSc2 | PBE-GGA | optimized geometry

Calculated values
- SG = No. 99
- ΔE_f (eV/f.u.) = 0.9
- polymorph energy (0 for the lowest one) (meV/atom) = 0
- total energy (eV per atom) = -3.90

Cell and atoms, written as extended XYZ:
```
4
Lattice="3.789 0.000 0.000 0.000 3.789 0.000 0.000 0.000 8.446" Properties=species:S:1:pos:R:3 pbc="T T T"
Ba 0.000 0.000 4.333
Li 1.895 1.895 6.810
Sc 0.000 0.000 8.354
Sc 1.895 1.895 1.618
```

=====

No. 6
Ba2LiSc | PBE-GGA | optimized geometry

Calculated values
- SG = No. 71
- ΔE_f (eV/f.u.) = 1.4
- polymorph energy (0 for the lowest one) (meV/atom) = 133
- total energy (eV per atom) = -2.67

Cell and atoms, written as extended XYZ:
```
4
Lattice="-4.392 3.004 3.885 -5.469 0.716 -3.604 3.771 -5.084 1.830" Properties=species:S:1:pos:R:3 pbc="T T T"
Ba -9.710 3.663 0.277
Ba -5.081 1.916 0.145
Li -2.776 -0.110 2.928
Sc -3.314 -1.254 -0.817
```

=====

No. 7
BaLiSc2 | PBE-GGA | optimized geometry

Calculated values
- SG = No. 119
- ΔE_f (eV/f.u.) = 1.6
- polymorph energy (0 for the lowest one) (meV/atom) = 178
- total energy (eV per atom) = -3.72

Cell and atoms, written as extended XYZ:
```
4
Lattice="-4.726 -0.430 -2.887 0.593 -5.520 -0.186 0.052 2.646 4.884" Properties=species:S:1:pos:R:3 pbc="T T T"
Ba -2.067 -2.975 -1.536
Li -3.370 -0.379 0.230
Sc 0.000 0.000 0.000
Sc -0.711 -2.924 1.581
```

=====

No. 8
Ba2LiSc | PBE-GGA | optimized geometry

Calculated values
- SG = No. 44
- ΔE_f (eV/f.u.) = 1.1
- polymorph energy (0 for the lowest one) (meV/atom) = 60
- total energy (eV per atom) = -2.74

Cell and atoms, written as extended XYZ:
```
4
Lattice="-6.033 3.745 -1.810 -4.577 2.194 5.286 6.731 0.250 -2.887" Properties=species:S:1:pos:R:3 pbc="T T T"
Ba -0.157 0.088 0.051
Ba -2.038 3.334 -1.566
Li -5.034 2.818 1.649
Sc -1.955 2.919 2.193
```